Record 1
This record from the Alexandria database describes a relaxed structure of Sm6Co2HgCl3. The functional is PBE.

Output
Fermi-level density of states	5.8	states/eV per cell
calculated volume	27.55	A^3/atom
uncorrected formation energy	-850.3	meV/atom
DFT total energy	-4.881	eV/atom

Lattice parameters (Å, degrees): 3.882 8.712 10.371 106.07 100.79 90.00
Positions (direct):
Sm 0.337 0.871 0.674
Sm 0.689 0.584 0.377
Sm 0.663 0.129 0.326
Sm 0.043 0.286 0.085
Sm 0.957 0.714 0.915
Sm 0.311 0.416 0.623
Co 0.826 0.647 0.652
Co 0.174 0.353 0.348
Hg 0.500 0.000 0.000
Cl 0.500 0.500 0.000
Cl 0.818 0.144 0.637
Cl 0.182 0.856 0.363

***

Record 2
This record from the Alexandria database describes a relaxed structure of TlCoHgCl6. The functional is PBE.

Output
calculated volume	28.64	A^3/atom
uncorrected formation energy	-655.3	meV/atom
DFT total energy	-2.972	eV/atom

Lattice parameters (Å, degrees): 6.629 6.629 6.775 90.00 89.99 59.99
Positions (direct):
Tl 0.000 0.000 0.998
Co 0.333 0.333 0.501
Hg 0.667 0.667 0.498
Cl 0.052 0.342 0.304
Cl 0.345 0.051 0.697
Cl 0.604 0.345 0.697
Cl 0.051 0.604 0.697
Cl 0.342 0.606 0.304
Cl 0.606 0.052 0.304

***

Record 3
This record from the Alexandria database describes a relaxed structure of VCoHgCl6. The functional is PBE.

Output
Fermi-level density of states	9.0	states/eV per cell
calculated volume	31.05	A^3/atom
uncorrected formation energy	-778.9	meV/atom
DFT total energy	-3.846	eV/atom

Lattice parameters (Å, degrees): 5.995 5.994 8.979 89.97 89.99 60.02
Positions (direct):
V 0.667 0.667 0.500
Co 0.333 0.333 0.500
Hg 0.000 0.000 0.000
Cl 0.011 0.358 0.354
Cl 0.358 0.011 0.646
Cl 0.631 0.358 0.646
Cl 0.011 0.631 0.646
Cl 0.358 0.631 0.354
Cl 0.631 0.011 0.354